(1)
{
  "formula": "RbSrCa",
  "functional": "GGA-PBE",
  "state": "relaxed",
  "dos_at_fermi_per_ev_fu": 3.244,
  "delta_e_f_ev_per_fu": 0.6,
  "volume_a3_per_atom": 57.82,
  "total_energy_ev_per_atom": -1.366,
  "cell": [[6.2868, 0.0000, 0.0000], [3.1357, 6.9600, 0.0000], [0.0042, 2.6264, 7.9285]],
  "species": ["Rb", "Rb", "Sr", "Sr", "Ca", "Ca"],
  "fractional_positions": [[0.0025, 0.4948, 0.2588], [0.9975, 0.5052, 0.7412], [0.3242, 0.8514, 0.9091], [0.6758, 0.1486, 0.0909], [0.3217, 0.8563, 0.4140], [0.6783, 0.1437, 0.5860]]
}

(2)
{
  "formula": "NaCuSnHg2",
  "functional": "GGA-PBE",
  "state": "relaxed",
  "dos_at_fermi_per_ev_fu": 1.987,
  "delta_e_f_ev_per_fu": 0.2,
  "volume_a3_per_atom": 27.04,
  "total_energy_ev_per_atom": -1.960,
  "cell": [[5.1766, 0.0000, 0.0000], [0.0000, 5.1766, 0.0000], [0.0000, 0.0000, 5.0444]],
  "species": ["Na", "Cu", "Sn", "Hg", "Hg"],
  "fractional_positions": [[0.0000, 0.0000, 0.0000], [0.5000, 0.5000, 0.5000], [0.5000, 0.5000, 0.0000], [0.0000, 0.5000, 0.5000], [0.5000, 0.0000, 0.5000]]
}

(3)
{
  "formula": "Cs3Ca2PbBr9",
  "functional": "GGA-PBE",
  "state": "relaxed",
  "dos_at_fermi_per_ev_fu": 0.000,
  "volume_a3_per_atom": 39.88,
  "total_energy_ev_per_atom": -3.428,
  "raw_formation_energy_ev_per_atom": -1.74,
  "cell": [[8.2585, 0.0000, 0.0000], [-4.1293, 7.1521, 0.0000], [0.0000, 0.0000, 10.1275]],
  "species": ["Cs", "Cs", "Cs", "Ca", "Ca", "Pb", "Br", "Br", "Br", "Br", "Br", "Br", "Br", "Br", "Br"],
  "fractional_positions": [[0.0000, 0.0000, 0.0000], [0.3333, 0.6667, 0.6656], [0.6667, 0.3333, 0.3344], [0.3333, 0.6667, 0.1593], [0.6667, 0.3333, 0.8407], [0.0000, 0.0000, 0.5000], [0.0000, 0.5000, 0.0000], [0.1706, 0.3412, 0.3287], [0.1706, 0.8294, 0.3287], [0.3412, 0.1706, 0.6713], [0.5000, 0.0000, 0.0000], [0.5000, 0.5000, 0.0000], [0.6588, 0.8294, 0.3287], [0.8294, 0.1706, 0.6713], [0.8294, 0.6588, 0.6713]]
}

(4)
{
  "formula": "CaPr5Ag4",
  "functional": "GGA-PBE",
  "state": "relaxed",
  "dos_at_fermi_per_ev_fu": 10.905,
  "delta_e_f_ev_per_fu": -1.7,
  "volume_a3_per_atom": 29.38,
  "total_energy_ev_per_atom": -3.902,
  "cell": [[3.7751, 0.0000, 0.0000], [0.0000, 3.7751, 0.0000], [0.0000, 0.0000, 20.6175]],
  "species": ["Ca", "Pr", "Pr", "Pr", "Pr", "Pr", "Ag", "Ag", "Ag", "Ag"],
  "fractional_positions": [[0.0000, 0.0000, 0.0000], [0.5000, 0.5000, 0.1340], [0.5000, 0.5000, 0.3154], [0.5000, 0.5000, 0.5000], [0.5000, 0.5000, 0.6846], [0.5000, 0.5000, 0.8660], [0.0000, 0.0000, 0.2230], [0.0000, 0.0000, 0.4076], [0.0000, 0.0000, 0.5924], [0.0000, 0.0000, 0.7770]]
}

(5)
{
  "formula": "Tb2Ga4Co3Ru",
  "functional": "GGA-PBE",
  "state": "relaxed",
  "dos_at_fermi_per_ev_fu": 9.456,
  "delta_e_f_ev_per_fu": -4.0,
  "volume_a3_per_atom": 16.68,
  "total_energy_ev_per_atom": -5.593,
  "cell": [[4.0739, 0.0000, 0.0000], [0.0000, 4.0739, 0.0000], [0.0000, 0.0000, 10.0512]],
  "species": ["Tb", "Tb", "Ga", "Ga", "Ga", "Ga", "Co", "Co", "Co", "Ru"],
  "fractional_positions": [[0.0000, 0.5000, 0.2475], [0.5000, 0.0000, 0.7525], [0.0000, 0.0000, 0.5000], [0.0000, 0.5000, 0.8632], [0.5000, 0.0000, 0.1368], [0.5000, 0.5000, 0.5000], [0.0000, 0.0000, 0.0000], [0.0000, 0.5000, 0.6285], [0.5000, 0.0000, 0.3715], [0.5000, 0.5000, 0.0000]]
}

(6)
{
  "formula": "Ho2ErSn",
  "functional": "GGA-PBE",
  "state": "relaxed",
  "dos_at_fermi_per_ev_fu": 4.662,
  "delta_e_f_ev_per_fu": -1.6,
  "volume_a3_per_atom": 27.26,
  "polymorph_energy_ev_per_atom": 0.000,
  "total_energy_ev_per_atom": -4.836,
  "cell": [[4.7759, 0.0000, 0.0000], [0.0000, 4.7759, 0.0000], [0.0000, 0.0000, 4.7797]],
  "species": ["Ho", "Ho", "Er", "Sn"],
  "fractional_positions": [[0.0000, 0.5000, 0.0000], [0.5000, 0.0000, 0.0000], [0.0000, 0.0000, 0.5000], [0.5000, 0.5000, 0.5000]]
}

(7)
{
  "formula": "MgNiPt2",
  "functional": "GGA-PBE",
  "state": "relaxed",
  "dos_at_fermi_per_ev_fu": 4.450,
  "delta_e_f_ev_per_fu": -1.2,
  "volume_a3_per_atom": 14.95,
  "total_energy_ev_per_atom": -5.164,
  "cell": [[6.2073, 0.0000, 0.0000], [0.0000, 6.2073, 0.0000], [0.0000, 0.0000, 6.2073]],
  "species": ["Mg", "Mg", "Mg", "Mg", "Ni", "Ni", "Ni", "Ni", "Pt", "Pt", "Pt", "Pt", "Pt", "Pt", "Pt", "Pt"],
  "fractional_positions": [[0.0000, 0.0000, 0.0000], [0.0000, 0.5000, 0.5000], [0.5000, 0.0000, 0.5000], [0.5000, 0.5000, 0.0000], [0.2500, 0.2500, 0.7500], [0.2500, 0.7500, 0.2500], [0.7500, 0.2500, 0.2500], [0.7500, 0.7500, 0.7500], [0.0000, 0.0000, 0.5000], [0.0000, 0.5000, 0.0000], [0.2500, 0.2500, 0.2500], [0.2500, 0.7500, 0.7500], [0.5000, 0.0000, 0.0000], [0.5000, 0.5000, 0.5000], [0.7500, 0.2500, 0.7500], [0.7500, 0.7500, 0.2500]]
}

(8)
{
  "formula": "PaCuNiRh",
  "functional": "GGA-PBE",
  "state": "relaxed",
  "dos_at_fermi_per_ev_fu": 4.502,
  "delta_e_f_ev_per_fu": -1.2,
  "volume_a3_per_atom": 16.47,
  "total_energy_ev_per_atom": -6.987,
  "cell": [[6.4107, 0.0000, 0.0000], [0.0000, 6.4107, 0.0000], [0.0000, 0.0000, 6.4107]],
  "species": ["Pa", "Pa", "Pa", "Pa", "Cu", "Cu", "Cu", "Cu", "Ni", "Ni", "Ni", "Ni", "Rh", "Rh", "Rh", "Rh"],
  "fractional_positions": [[0.0000, 0.0000, 0.0000], [0.0000, 0.5000, 0.5000], [0.5000, 0.0000, 0.5000], [0.5000, 0.5000, 0.0000], [0.0000, 0.0000, 0.5000], [0.0000, 0.5000, 0.0000], [0.5000, 0.0000, 0.0000], [0.5000, 0.5000, 0.5000], [0.2500, 0.2500, 0.2500], [0.2500, 0.7500, 0.7500], [0.7500, 0.2500, 0.7500], [0.7500, 0.7500, 0.2500], [0.2500, 0.2500, 0.7500], [0.2500, 0.7500, 0.2500], [0.7500, 0.2500, 0.2500], [0.7500, 0.7500, 0.7500]]
}

(9)
{
  "formula": "Sr3Cu2P4",
  "functional": "GGA-PBE",
  "state": "relaxed",
  "dos_at_fermi_per_ev_fu": 1.063,
  "delta_e_f_ev_per_fu": -7.0,
  "volume_a3_per_atom": 21.84,
  "total_energy_ev_per_atom": -4.652,
  "cell": [[5.6956, -2.0472, 0.0000], [5.6956, 2.0472, 0.0000], [-1.6234, 0.0000, 8.4274]],
  "species": ["Sr", "Sr", "Sr", "Cu", "Cu", "P", "P", "P", "P"],
  "fractional_positions": [[0.0000, 0.0000, 0.0000], [0.3593, 0.3593, 0.3437], [0.6407, 0.6407, 0.6563], [0.3665, 0.3665, 0.7343], [0.6335, 0.6335, 0.2657], [0.0859, 0.0859, 0.3574], [0.2793, 0.2793, 0.9546], [0.7207, 0.7207, 0.0454], [0.9141, 0.9141, 0.6426]]
}

(10)
{
  "formula": "U2Tl2FeSe6",
  "functional": "GGA-PBE",
  "state": "relaxed",
  "dos_at_fermi_per_ev_fu": 16.960,
  "volume_a3_per_atom": 28.24,
  "total_energy_ev_per_atom": -5.832,
  "raw_formation_energy_ev_per_atom": -0.68,
  "cell": [[3.3520, -5.7567, 0.0000], [3.3520, 5.7567, 0.0000], [-2.5171, 0.0000, 8.0488]],
  "species": ["U", "U", "Tl", "Tl", "Fe", "Se", "Se", "Se", "Se", "Se", "Se"],
  "fractional_positions": [[0.1674, 0.8326, 0.0000], [0.8326, 0.1674, 0.0000], [0.3202, 0.6798, 0.5000], [0.6798, 0.3202, 0.5000], [0.5000, 0.5000, 0.0000], [0.1264, 0.4239, 0.8045], [0.2778, 0.2778, 0.1950], [0.4239, 0.1264, 0.8045], [0.5761, 0.8736, 0.1955], [0.7222, 0.7222, 0.8050], [0.8736, 0.5761, 0.1955]]
}

(11)
{
  "formula": "NdGa5Cu2Pd",
  "functional": "GGA-PBE",
  "state": "relaxed",
  "dos_at_fermi_per_ev_fu": 3.899,
  "delta_e_f_ev_per_fu": -1.7,
  "volume_a3_per_atom": 20.00,
  "total_energy_ev_per_atom": -3.885,
  "cell": [[4.2472, 0.0000, 0.0000], [0.0000, 4.2472, 0.0000], [0.0000, 0.0000, 9.9809]],
  "species": ["Nd", "Ga", "Ga", "Ga", "Ga", "Ga", "Cu", "Cu", "Pd"],
  "fractional_positions": [[0.0000, 0.0000, 0.0000], [0.0000, 0.5000, 0.3476], [0.0000, 0.5000, 0.6524], [0.5000, 0.0000, 0.3476], [0.5000, 0.0000, 0.6524], [0.5000, 0.5000, 0.0000], [0.5000, 0.5000, 0.2273], [0.5000, 0.5000, 0.7727], [0.0000, 0.0000, 0.5000]]
}

(12)
{
  "formula": "Ce2ScAg",
  "functional": "GGA-PBE",
  "state": "relaxed",
  "dos_at_fermi_per_ev_fu": 10.608,
  "delta_e_f_ev_per_fu": 0.2,
  "volume_a3_per_atom": 25.27,
  "polymorph_energy_ev_per_atom": 0.000,
  "total_energy_ev_per_atom": -5.216,
  "cell": [[3.2021, 0.0000, 0.0000], [0.0000, 3.2021, 0.0000], [0.0000, 0.0000, 9.8600]],
  "species": ["Ce", "Ce", "Sc", "Ag"],
  "fractional_positions": [[0.0000, 0.0000, 0.2369], [0.0000, 0.0000, 0.7631], [0.5000, 0.5000, 0.5000], [0.5000, 0.5000, 0.0000]]
}